{
  "formula": "Li3Ga9Ag2",
  "functional": "PBE-GGA",
  "state": "optimized geometry",
  "delta_e_f_ev_per_atom": -0.1517,
  "lattice": [[-2.131, 4.928, 6.049], [2.131, -4.928, 6.049], [2.131, 4.928, -6.049]],
  "species": ["Li", "Li", "Li", "Ga", "Ga", "Ga", "Ga", "Ga", "Ga", "Ga", "Ga", "Ga", "Ag", "Ag"],
  "frac_coords": [[0.000, 0.000, 0.000], [0.287, 0.287, 0.000], [0.713, 0.713, 0.000], [0.013, 0.640, 0.373], [0.133, 0.848, 0.285], [0.267, 0.640, 0.627], [0.438, 0.152, 0.285], [0.500, 0.000, 0.500], [0.562, 0.848, 0.715], [0.733, 0.360, 0.373], [0.867, 0.152, 0.715], [0.987, 0.360, 0.627], [0.342, 0.500, 0.842], [0.658, 0.500, 0.158]]
}

---

{
  "formula": "Li2GaAg5",
  "functional": "PBE-GGA",
  "state": "optimized geometry",
  "delta_e_f_ev_per_atom": -0.1589,
  "lattice": [[4.013, -4.127, 0.000], [4.013, 4.127, 0.000], [-3.994, 0.000, 4.065]],
  "species": ["Li", "Li", "Ga", "Ag", "Ag", "Ag", "Ag", "Ag"],
  "frac_coords": [[0.000, 0.500, 0.000], [0.500, 0.000, 0.000], [0.000, 0.000, 0.500], [0.000, 0.000, 0.000], [0.000, 0.500, 0.500], [0.500, 0.000, 0.500], [0.500, 0.500, 0.000], [0.500, 0.500, 0.500]]
}

---

{
  "formula": "Li5Ga3Ag",
  "functional": "PBE-GGA",
  "state": "optimized geometry",
  "delta_e_f_ev_per_atom": -0.0771,
  "lattice": [[4.634, -3.678, 0.000], [4.634, 3.678, 0.000], [-1.826, 0.000, 10.299]],
  "species": ["Li", "Li", "Li", "Li", "Li", "Li", "Li", "Li", "Li", "Li", "Ga", "Ga", "Ga", "Ga", "Ga", "Ga", "Ag", "Ag"],
  "frac_coords": [[0.014, 0.014, 0.365], [0.086, 0.465, 0.325], [0.168, 0.832, 0.000], [0.230, 0.230, 0.843], [0.465, 0.086, 0.325], [0.535, 0.914, 0.675], [0.770, 0.770, 0.157], [0.832, 0.168, 0.000], [0.914, 0.535, 0.675], [0.986, 0.986, 0.635], [0.245, 0.245, 0.552], [0.261, 0.261, 0.094], [0.500, 0.500, 0.000], [0.500, 0.500, 0.500], [0.739, 0.739, 0.906], [0.755, 0.755, 0.448], [0.480, 0.480, 0.746], [0.520, 0.520, 0.254]]
}

---

{
  "formula": "LiGaAg2",
  "functional": "PBE-GGA",
  "state": "optimized geometry",
  "delta_e_f_ev_per_atom": -0.1362,
  "lattice": [[3.179, 0.000, 0.000], [0.000, 3.179, 0.000], [0.000, 0.000, 6.522]],
  "species": ["Li", "Ga", "Ag", "Ag"],
  "frac_coords": [[0.000, 0.000, 0.000], [0.000, 0.000, 0.500], [0.500, 0.500, 0.236], [0.500, 0.500, 0.764]]
}

---

The records above give, respectively, Fermi-level density of states values of 4.69; 1.51; 2.46; 1.10 states/eV/f.u..